(1)
VASP calculation (PBE) on an optimized crystal structure of CaEr3H.

It has space group Pm-3m (No. 221), with a = 5.009 Å, b = 5.009 Å, c = 5.009 Å, α = 90.00°, β = 90.00° and γ = 90.00°. The inequivalent atoms are Ca at (0.000, 0.000, 0.000), Er at (0.000, 0.500, 0.500) and H at (0.500, 0.500, 0.500).

The value obtained for the total DFT energy (no corrections) is -3.86 eV per atom.



(2)
VASP calculation (PBE) on an optimized crystal structure of LiNd2Be2O6.

It has space group R-3m (No. 166, hexagonal axes), with a = 5.2665 Å, b = 5.2665 Å, c = 15.5502 Å, α = 90.00°, β = 90.00° and γ = 120.00°. The inequivalent atoms are Li at (0.0000, 0.0000, 0.0000), Nd at (0.0000, 0.0000, 0.2156), Be at (0.0000, 0.0000, 0.4241) and O at (0.0002, 0.5001, 0.2428).

The calculation puts the energy relative to the elements, uncorrected at -2.47 eV/atom.



(3)
VASP calculation (PBE) on an optimized crystal structure of Zr3CrCu.

It has space group Pm-3m (No. 221), with a = 4.798 Å, b = 4.798 Å, c = 4.798 Å, α = 90.00°, β = 90.00° and γ = 90.00°. The inequivalent atoms are Zr at (0.000, 0.000, 0.500), Cr at (0.000, 0.000, 0.000) and Cu at (0.500, 0.500, 0.500).

For the excess energy over the best structure of this formula in the dataset, the calculation gives 0 meV per atom.



(4)
VASP calculation (PBE) on an optimized crystal structure of PrZn12.

It has space group I4/mmm (No. 139), with a = 8.901 Å, b = 8.901 Å, c = 5.322 Å, α = 90.00°, β = 90.00° and γ = 90.00°. The inequivalent atoms are Pr at (0.000, 0.000, 0.000), Zn at (0.000, 0.220, 0.500), Zn at (0.000, 0.355, 0.000) and Zn at (0.250, 0.250, 0.250).

The value obtained for the total DFT energy (no corrections) is -1.74 eV per atom.



(5)
VASP calculation (PBE) on an optimized crystal structure of Sr2ThPdO5.

It has space group P4/mbm (No. 127), with a = 6.455 Å, b = 6.455 Å, c = 6.146 Å, α = 90.00°, β = 90.00° and γ = 90.00°. The inequivalent atoms are Sr at (0.163, 0.337, 0.000), Th at (0.000, 0.000, 0.500), Pd at (0.000, 0.500, 0.500), O at (0.000, 0.000, 0.000) and O at (0.170, 0.670, 0.295).

The calculation puts the energy relative to the elements, uncorrected at -2.30 eV/atom.



Number 1: calculated volume 25.14 Å³ per atom. Number 2: calculated volume 11.32 Å³ per atom. Number 3: calculated volume 22.10 Å³ per atom. Number 4: calculated volume 16.22 Å³ per atom. Number 5: calculated volume 14.23 Å³ per atom.